This record from Alexandria describes a relaxed Rb2LiC2 crystal. The functional is PBE.

Results
Its crystal system is tetragonal. The value obtained for the distance to the lowest polymorph of the same formula is 0 meV/atom. The calculation puts the density of states at the Fermi level at 0.0 states/eV/f.u. Its total energy is -39.243 eV per cell. As for the total magnetization: 2.00 Bohr magnetons per cell. For the formation energy, the calculation gives 51.6 kJ per mole of atoms.

abc: 7.6816 7.6816 4.5747
angles: 90.00 90.00 90.00
With the nearest neighbours (Å) after each atom.
Space group P4/mbm (No. 127)
Inequivalent atoms, fractional coordinates:
Rb: 0.2011 0.2989 0.0000 x4  6 C 3.23-3.47, 4 Li 3.59
Li: 0.0000 0.0000 0.5000 x2  4 C 3.42, 8 Rb 3.59
C: 0.0586 0.5586 0.5000 x4  1 C 1.27

---

This record from Alexandria describes a relaxed Rb2LiC2 crystal. The functional is PBE.

Results
Its crystal system is tetragonal. The value obtained for the distance to the lowest polymorph of the same formula is 80 meV/atom. The calculation puts the density of states at the Fermi level at 0.0 states/eV/f.u. Its total energy is -38.439 eV per cell. As for the total magnetization: 2.00 Bohr magnetons per cell. For the formation energy, the calculation gives 59.4 kJ per mole of atoms.

abc: 5.9475 5.9475 7.9480
angles: 90.00 90.00 90.00
With the nearest neighbours (Å) after each atom.
Space group I4/mmm (No. 139)
Inequivalent atoms, fractional coordinates:
Rb: 0.0000 0.5000 0.2500 x4  4 C 3.27, 4 Li 3.58
Li: 0.0000 0.0000 0.0000 x2  2 C 3.34, 8 Rb 3.58
C: 0.0000 0.0000 0.4198 x4  1 C 1.27

---

This record from Alexandria describes a relaxed RbLiC2 crystal. The functional is PBE.

Results
Its crystal system is cubic. The value obtained for the distance to the lowest polymorph of the same formula is 854 meV/atom. The calculation puts the density of states at the Fermi level at 1.4 states/eV/f.u. Its total energy is -44.097 eV per cell. As for the total magnetization: 0.00 Bohr magnetons per cell. For the formation energy, the calculation gives 248.6 kJ per mole of atoms.

abc: 6.4754 6.4754 6.4754
angles: 90.00 90.00 90.00
With the nearest neighbours (Å) after each atom.
Space group Fm-3m (No. 225)
Inequivalent atoms, fractional coordinates:
Rb: 0.0000 0.0000 0.0000 x4  8 C 2.80
Li: 0.0000 0.0000 0.5000 x4  8 C 2.80
C: 0.2500 0.2500 0.2500 x8  4 Li 2.80, 4 Rb 2.80

---

This record from Alexandria describes a relaxed RbLiC2 crystal. The functional is PBE.

Results
Its crystal system is tetragonal. The value obtained for the distance to the lowest polymorph of the same formula is 0 meV/atom. The calculation puts the density of states at the Fermi level at 1.2 states/eV/f.u. Its total energy is -57.754 eV per cell. As for the total magnetization: 0.00 Bohr magnetons per cell. For the formation energy, the calculation gives 166.2 kJ per mole of atoms.

abc: 3.7637 3.7637 16.2977
angles: 90.00 90.00 90.00
With the nearest neighbours (Å) after each atom.
Space group I4_1/amd (No. 141, origin choice 2)
Inequivalent atoms, fractional coordinates:
Rb: 0.0000 0.2500 0.3750 x4  4 Li 2.66, 8 C 2.93
Li: 0.0000 0.2500 0.8750 x4  4 C 2.24
C: 0.0000 0.0000 0.0000 x8  2 C 1.88

---

> distance to the lowest polymorph of the same formula of number 1 (Rb2LiC2)?

0 meV/atom

---

> Which value of distance to the lowest polymorph of the same formula does entry 4 give?

0 meV/atom

---

> Which of these has the highest distance to the lowest polymorph of the same formula?

number 3